Here is an optimized crystal structure of SrCr2NiO8 from the Alexandria database. Energies are from PBE with a Hubbard U.

abc: 4.993 4.993 7.743
angles: 71.19 71.19 60.00
Atoms (fractional coordinates):
Sr (0.500, 0.500, 0.500)
Cr (0.254, 0.254, 0.237)
Cr (0.746, 0.746, 0.763)
Ni (0.000, 0.000, 0.000)
O (0.177, 0.177, 0.469)
O (0.601, 0.267, 0.171)
O (0.823, 0.823, 0.531)
O (0.961, 0.601, 0.171)
O (0.039, 0.399, 0.829)
O (0.267, 0.961, 0.171)
O (0.733, 0.039, 0.829)
O (0.399, 0.733, 0.829)

Output
Fermi-level density of states = 0.0000 states/eV/atom
SG = R-3, No. 148
V = 12.93 Å³ per atom
DFT total energy = -0.2365 Ha/atom
Total magnetic moment = 0.166 μB/atom